A relaxed structure of Sr4IrAu, computed with PBE.

The value obtained for the energy relative to the lowest polymorph listed for this composition is 0.0 meV per atom. As for the calculated density: 5.9 g/cm3. For the total magnetic moment, the calculation gives 0.00 Bohr magnetons per cell.

The space group is P4/mmm (No. 123) and the conventional cell measures 5.256, 5.256 and 7.509 Å, with angles of 90.00, 90.00 and 90.00 degrees. The inequivalent atoms are Sr at (0.000, 0.500, 0.236), Ir at (0.000, 0.000, 0.000) and Au at (0.500, 0.500, 0.500).